# BeBr, relaxed, DFT GGA-PBE
# ΔE_f (raw): 153 kJ/mol of formula units
# polymorph energy (0 for the lowest one): 1196.9 meV/atom
# ρ: 4.304 g/cm3
data_BeBr
_chemical_formula_sum 'Be1 Br1'
_symmetry_space_group_name_H-M 'P m -3 m'
_symmetry_Int_Tables_number 221
_symmetry_space_group_name_Hall '-P 4 2 3'
_cell_length_a 3.249
_cell_length_b 3.249
_cell_length_c 3.249
_cell_angle_alpha 90.00
_cell_angle_beta 90.00
_cell_angle_gamma 90.00
loop_
_atom_site_label
_atom_site_type_symbol
_atom_site_fract_x
_atom_site_fract_y
_atom_site_fract_z
Be1 Be 0.000 0.000 0.000
Br1 Br 0.500 0.500 0.500

=====

# Be2Br, relaxed, DFT GGA-PBE
# ΔE_f (raw): 38 kJ/mol of formula units
# polymorph energy (0 for the lowest one): 252.5 meV/atom
# ρ: 3.083 g/cm3
data_Be2Br
_chemical_formula_sum 'Be8 Br4'
_symmetry_space_group_name_H-M 'C 1 2/m 1'
_symmetry_Int_Tables_number 12
_symmetry_space_group_name_Hall '-C 2y'
_cell_length_a 10.677
_cell_length_b 3.636
_cell_length_c 5.630
_cell_angle_alpha 90.00
_cell_angle_beta 105.16
_cell_angle_gamma 90.00
loop_
_atom_site_label
_atom_site_type_symbol
_atom_site_fract_x
_atom_site_fract_y
_atom_site_fract_z
Be1 Be 0.123 0.000 0.235
Be2 Be 0.245 0.500 0.409
Br1 Br 0.098 0.000 0.826

=====

# BeBr, relaxed, DFT GGA-PBE
# ΔE_f (raw): 129 kJ/mol of formula units
# polymorph energy (0 for the lowest one): 1072.1 meV/atom
# ρ: 2.516 g/cm3
data_BeBr
_chemical_formula_sum 'Be6 Br6'
_symmetry_space_group_name_H-M 'P m -3 n'
_symmetry_Int_Tables_number 223
_symmetry_space_group_name_Hall '-P 4n 2 3'
_cell_length_a 7.062
_cell_length_b 7.062
_cell_length_c 7.062
_cell_angle_alpha 90.00
_cell_angle_beta 90.00
_cell_angle_gamma 90.00
loop_
_atom_site_label
_atom_site_type_symbol
_atom_site_fract_x
_atom_site_fract_y
_atom_site_fract_z
Be1 Be 0.000 0.250 0.500
Br1 Br 0.000 0.500 0.250